Computed, not measured: a relaxed SrVBi2Au crystal at the GGA-PBE level of DFT.

Cell and atoms, written as POSCAR:
```
SrVBi2Au
1.0
5.9487 0.0000 0.0000
0.0000 5.9487 0.0000
0.0000 0.0000 4.9557
Sr V Bi Au
1 1 2 1
direct
0.0000 0.0000 0.0000
0.0000 0.0000 0.5000
0.0000 0.5000 0.0000
0.5000 0.0000 0.0000
0.5000 0.5000 0.5000
```

offset from the most stable computed form: 1749 meV/atom
energy relative to the elements: 1.648 eV per atom
size of the total moment: 0.01 μB per atom
D(E_F): 7.730 states/eV/f.u.
symmetry: P4/mmm (123)